Record 1
Entry from Alexandria: a geometry-optimized SrTeIr2 structure (PBE).

```
data_SrTeIr2
_space_group_name_H-M_alt 'R 3 m'
_space_group_IT_number 160
_space_group_name_Hall 'R 3 -2"'
_cell_length_a 4.4396
_cell_length_b 4.4396
_cell_length_c 17.1092
_cell_angle_alpha 90.00
_cell_angle_beta 90.00
_cell_angle_gamma 120.00
loop_
_atom_site_label
_atom_site_fract_x
_atom_site_fract_y
_atom_site_fract_z
Sr1 0.0000 0.0000 0.0000
Te1 0.0000 0.0000 0.8035
Ir1 0.0000 0.0000 0.2104
Ir2 0.0000 0.0000 0.5430
```

## Properties
V   24.336 Å³/atom
ΔE_f (raw)   -0.262 eV/atom



Record 2
Entry from Alexandria: a geometry-optimized DyUV structure (PBE).

```
data_DyUV
_space_group_name_H-M_alt 'C 1 2/m 1'
_space_group_IT_number 12
_cell_length_a 12.870
_cell_length_b 3.168
_cell_length_c 8.095
_cell_angle_alpha 90.00
_cell_angle_beta 125.94
_cell_angle_gamma 90.00
loop_
_space_group_symop_operation_xyz
'x,y,z'
'-x,-y,-z'
'-x,y,-z'
'x,-y,z'
'x+1/2,y+1/2,z'
'-x+1/2,-y+1/2,-z'
'-x+1/2,y+1/2,-z'
'x+1/2,-y+1/2,z'
loop_
_atom_site_label
_atom_site_fract_x
_atom_site_fract_y
_atom_site_fract_z
Dy1 0.101 0.000 0.272
U1 0.119 0.500 0.677
V1 0.165 0.500 0.995
```

## Properties
V   22.274 Å³/atom
Energy of formation   1.040 eV per formula unit



Record 3
Entry from Alexandria: a geometry-optimized SmGaPd2 structure (PBE).

```
data_SmGaPd2
_space_group_name_H-M_alt 'P 4/m m m'
_space_group_IT_number 123
_space_group_name_Hall '-P 4 2'
_cell_length_a 4.536
_cell_length_b 4.536
_cell_length_c 3.738
_cell_angle_alpha 90.00
_cell_angle_beta 90.00
_cell_angle_gamma 90.00
loop_
_atom_site_label
_atom_site_fract_x
_atom_site_fract_y
_atom_site_fract_z
Sm1 0.000 0.000 0.000
Ga1 0.500 0.500 0.000
Pd1 0.000 0.500 0.500
```

## Properties
V   19.223 Å³/atom
Energy of formation   -2.502 eV per formula unit



Record 4
Entry from Alexandria: a geometry-optimized Mg2Ga2Ni structure (PBE).

```
data_Mg2Ga2Ni
_space_group_name_H-M_alt 'P 4/m b m'
_space_group_IT_number 127
_space_group_name_Hall '-P 4 2ab'
_cell_length_a 6.374
_cell_length_b 6.374
_cell_length_c 4.265
_cell_angle_alpha 90.00
_cell_angle_beta 90.00
_cell_angle_gamma 90.00
loop_
_atom_site_label
_atom_site_fract_x
_atom_site_fract_y
_atom_site_fract_z
Mg1 0.171 0.329 0.000
Ga1 0.143 0.643 0.500
Ni1 0.000 0.000 0.500
```

## Properties
V   17.330 Å³/atom
Distance to the lowest polymorph of the same formula   0.086 eV per atom
Energy of formation   -0.840 eV per formula unit



Record 5
Entry from Alexandria: a geometry-optimized PrSm6Y3 structure (PBE).

```
data_PrSm6Y3
_space_group_name_H-M_alt 'C m c 21'
_space_group_IT_number 36
_cell_length_a 11.195
_cell_length_b 19.411
_cell_length_c 6.232
_cell_angle_alpha 90.00
_cell_angle_beta 90.00
_cell_angle_gamma 90.00
loop_
_space_group_symop_operation_xyz
'x,y,z'
'-x,-y,z+1/2'
'-x,y,z'
'x,-y,z+1/2'
'x+1/2,y+1/2,z'
'-x+1/2,-y+1/2,z+1/2'
'-x+1/2,y+1/2,z'
'x+1/2,-y+1/2,z+1/2'
loop_
_atom_site_label
_atom_site_fract_x
_atom_site_fract_y
_atom_site_fract_z
Pr1 0.000 0.200 0.000
Sm1 0.000 0.042 0.202
Sm2 0.000 0.281 0.481
Sm3 0.166 0.456 0.580
Sm4 0.241 0.290 0.743
Y1 0.000 0.386 0.041
Y2 0.171 0.112 0.651
```

## Properties
V   33.855 Å³/atom
Distance to the lowest polymorph of the same formula   0.015 eV per atom
Energy of formation   1.402 eV per formula unit



Record 6
Entry from Alexandria: a geometry-optimized ZrTl2Ir structure (PBE).

```
data_ZrTl2Ir
_space_group_name_H-M_alt 'P 4 m m'
_space_group_IT_number 99
_cell_length_a 3.340
_cell_length_b 3.340
_cell_length_c 8.513
_cell_angle_alpha 90.00
_cell_angle_beta 90.00
_cell_angle_gamma 90.00
loop_
_space_group_symop_operation_xyz
'x,y,z'
'-y,x,z'
'-x,-y,z'
'y,-x,z'
'-x,y,z'
'y,x,z'
'x,-y,z'
'-y,-x,z'
loop_
_atom_site_label
_atom_site_fract_x
_atom_site_fract_y
_atom_site_fract_z
Zr1 0.000 0.000 0.000
Tl1 0.000 0.000 0.406
Tl2 0.500 0.500 0.721
Ir1 0.500 0.500 0.153
```

## Properties
V   23.748 Å³/atom
Distance to the lowest polymorph of the same formula   0.007 eV per atom
Energy of formation   -0.448 eV per formula unit



Record 7
Entry from Alexandria: a geometry-optimized CaGdBiPd structure (PBE).

```
data_CaGdBiPd
_space_group_name_H-M_alt 'F -4 3 m'
_space_group_IT_number 216
_space_group_name_Hall 'F -4 2 3'
_cell_length_a 7.471
_cell_length_b 7.471
_cell_length_c 7.471
_cell_angle_alpha 90.00
_cell_angle_beta 90.00
_cell_angle_gamma 90.00
loop_
_atom_site_label
_atom_site_fract_x
_atom_site_fract_y
_atom_site_fract_z
Ca1 0.000 0.000 0.000
Gd1 0.000 0.000 0.500
Bi1 0.250 0.250 0.750
Pd1 0.250 0.250 0.250
```

## Properties
V   26.063 Å³/atom
Energy of formation   -2.885 eV per formula unit



Record 8
Entry from Alexandria: a geometry-optimized InTcTe2 structure (PBE).

```
data_InTcTe2
_space_group_name_H-M_alt 'A m m 2'
_space_group_IT_number 38
_cell_length_a 3.286
_cell_length_b 4.321
_cell_length_c 15.561
_cell_angle_alpha 90.00
_cell_angle_beta 90.00
_cell_angle_gamma 90.00
loop_
_space_group_symop_operation_xyz
'x,y,z'
'-x,-y,z'
'-x,y,z'
'x,-y,z'
'x,y+1/2,z+1/2'
'-x,-y+1/2,z+1/2'
'-x,y+1/2,z+1/2'
'x,-y+1/2,z+1/2'
loop_
_atom_site_label
_atom_site_fract_x
_atom_site_fract_y
_atom_site_fract_z
In1 0.000 0.000 0.000
Tc1 0.500 0.000 0.464
Te1 0.000 0.000 0.333
Te2 0.500 0.000 0.641
```

## Properties
V   27.625 Å³/atom
ΔE_f (raw)   0.054 eV/atom



Record 9
Entry from Alexandria: a geometry-optimized KAuCl structure (PBE).

```
data_KAuCl
_space_group_name_H-M_alt 'F m m 2'
_space_group_IT_number 42
_space_group_name_Hall 'F 2 -2'
_cell_length_a 4.982
_cell_length_b 4.990
_cell_length_c 12.665
_cell_angle_alpha 90.00
_cell_angle_beta 90.00
_cell_angle_gamma 90.00
loop_
_atom_site_label
_atom_site_fract_x
_atom_site_fract_y
_atom_site_fract_z
K1 0.000 0.000 0.000
Au1 0.000 0.000 0.704
Cl1 0.000 0.000 0.361
```

## Properties
V   26.239 Å³/atom
ΔE_f (raw)   -0.459 eV/atom
Distance to the lowest polymorph of the same formula   0.229 eV per atom



Record 10
Entry from Alexandria: a geometry-optimized HfNb2Al structure (PBE).

```
data_HfNb2Al
_space_group_name_H-M_alt 'P 4/m m m'
_space_group_IT_number 123
_space_group_name_Hall '-P 4 2'
_cell_length_a 3.482
_cell_length_b 3.482
_cell_length_c 6.119
_cell_angle_alpha 90.00
_cell_angle_beta 90.00
_cell_angle_gamma 90.00
loop_
_atom_site_label
_atom_site_fract_x
_atom_site_fract_y
_atom_site_fract_z
Hf1 0.000 0.000 0.000
Nb1 0.500 0.500 0.279
Al1 0.000 0.000 0.500
```

## Properties
V   18.546 Å³/atom
Energy of formation   -0.533 eV per formula unit



Record 11
Entry from Alexandria: a geometry-optimized AgP2OsRu structure (PBE).

```
data_AgP2OsRu
_space_group_name_H-M_alt 'P 4/m m m'
_space_group_IT_number 123
_space_group_name_Hall '-P 4 2'
_cell_length_a 4.519
_cell_length_b 4.519
_cell_length_c 4.937
_cell_angle_alpha 90.00
_cell_angle_beta 90.00
_cell_angle_gamma 90.00
loop_
_atom_site_label
_atom_site_fract_x
_atom_site_fract_y
_atom_site_fract_z
Ag1 0.000 0.000 0.000
P1 0.000 0.500 0.000
Os1 0.500 0.500 0.500
Ru1 0.000 0.000 0.500
```

## Properties
V   20.167 Å³/atom
Energy of formation   11.326 eV per formula unit



Record 12
Entry from Alexandria: a geometry-optimized Pm5TeS4 structure (PBE).

```
data_Pm5TeS4
_space_group_name_H-M_alt 'C 1 2/m 1'
_space_group_IT_number 12
_cell_length_a 13.748
_cell_length_b 4.096
_cell_length_c 10.143
_cell_angle_alpha 90.00
_cell_angle_beta 119.83
_cell_angle_gamma 90.00
loop_
_space_group_symop_operation_xyz
'x,y,z'
'-x,-y,-z'
'-x,y,-z'
'x,-y,z'
'x+1/2,y+1/2,z'
'-x+1/2,-y+1/2,-z'
'-x+1/2,y+1/2,-z'
'x+1/2,-y+1/2,z'
loop_
_atom_site_label
_atom_site_fract_x
_atom_site_fract_y
_atom_site_fract_z
Pm1 0.000 0.000 0.000
Pm2 0.114 0.500 0.387
Pm3 0.210 0.000 0.818
Te1 0.000 0.000 0.500
S1 0.093 0.500 0.894
S2 0.206 0.000 0.293
```

## Properties
V   24.775 Å³/atom
ΔE_f (raw)   -1.878 eV/atom



Record 13
Entry from Alexandria: a geometry-optimized Pm8CoIr2 structure (PBE).

```
data_Pm8CoIr2
_space_group_name_H-M_alt 'C 1 2/m 1'
_space_group_IT_number 12
_cell_length_a 12.267
_cell_length_b 8.691
_cell_length_c 6.625
_cell_angle_alpha 90.00
_cell_angle_beta 108.13
_cell_angle_gamma 90.00
loop_
_space_group_symop_operation_xyz
'x,y,z'
'-x,-y,-z'
'-x,y,-z'
'x,-y,z'
'x+1/2,y+1/2,z'
'-x+1/2,-y+1/2,-z'
'-x+1/2,y+1/2,-z'
'x+1/2,-y+1/2,z'
loop_
_atom_site_label
_atom_site_fract_x
_atom_site_fract_y
_atom_site_fract_z
Pm1 0.077 0.000 0.281
Pm2 0.133 0.500 0.243
Pm3 0.152 0.295 0.745
Co1 0.000 0.500 0.500
Ir1 0.183 0.000 0.952
```

## Properties
V   30.513 Å³/atom
Distance to the lowest polymorph of the same formula   0.000 eV per atom
Energy of formation   -3.215 eV per formula unit



Record 14
Entry from Alexandria: a geometry-optimized Ca3AuSe structure (PBE).

```
data_Ca3AuSe
_space_group_name_H-M_alt 'P m -3 m'
_space_group_IT_number 221
_space_group_name_Hall '-P 4 2 3'
_cell_length_a 5.475
_cell_length_b 5.475
_cell_length_c 5.475
_cell_angle_alpha 90.00
_cell_angle_beta 90.00
_cell_angle_gamma 90.00
loop_
_atom_site_label
_atom_site_fract_x
_atom_site_fract_y
_atom_site_fract_z
Ca1 0.000 0.000 0.500
Au1 0.500 0.500 0.500
Se1 0.000 0.000 0.000
```

## Properties
V   32.829 Å³/atom
ΔE_f (raw)   -0.687 eV/atom
Distance to the lowest polymorph of the same formula   0.000 eV per atom



Record 15
Entry from Alexandria: a geometry-optimized Pm2ErGa3 structure (PBE).

```
data_Pm2ErGa3
_space_group_name_H-M_alt 'P 4/m m m'
_space_group_IT_number 123
_space_group_name_Hall '-P 4 2'
_cell_length_a 3.612
_cell_length_b 3.612
_cell_length_c 10.964
_cell_angle_alpha 90.00
_cell_angle_beta 90.00
_cell_angle_gamma 90.00
loop_
_atom_site_label
_atom_site_fract_x
_atom_site_fract_y
_atom_site_fract_z
Pm1 0.000 0.000 0.172
Er1 0.000 0.000 0.500
Ga1 0.500 0.500 0.000
Ga2 0.500 0.500 0.346
```

## Properties
V   23.845 Å³/atom
Distance to the lowest polymorph of the same formula   0.000 eV per atom
Energy of formation   -3.444 eV per formula unit



Record 16
Entry from Alexandria: a geometry-optimized Mn3ReSe structure (PBE).

```
data_Mn3ReSe
_space_group_name_H-M_alt 'P m -3 m'
_space_group_IT_number 221
_space_group_name_Hall '-P 4 2 3'
_cell_length_a 4.220
_cell_length_b 4.220
_cell_length_c 4.220
_cell_angle_alpha 90.00
_cell_angle_beta 90.00
_cell_angle_gamma 90.00
loop_
_atom_site_label
_atom_site_fract_x
_atom_site_fract_y
_atom_site_fract_z
Mn1 0.000 0.000 0.500
Re1 0.500 0.500 0.500
Se1 0.000 0.000 0.000
```

## Properties
V   15.030 Å³/atom
ΔE_f (raw)   1.366 eV/atom
Distance to the lowest polymorph of the same formula   0.163 eV per atom